{
  "formula": "AlNiRh",
  "functional": "GGA-PBE",
  "state": "optimized geometry",
  "lattice_angstrom": [[4.070, 0.000, 0.000], [-2.035, 3.525, 0.000], [0.000, 0.000, 2.725]],
  "species": ["Al", "Ni", "Rh"],
  "frac_coords": [[0.000, 0.000, 0.000], [0.333, 0.667, 0.055], [0.667, 0.333, 0.539]],
  "e_above_lowest_polymorph_mev_per_atom": 121,
  "ef_ev_per_fu": -1.37,
  "total_magnetization_mub_per_fu": 0.00,
  "dft_energy_ev_per_atom": -6.081,
  "vol_a3_per_atom": 13.0
}